Crystalline InIrBr2 at its relaxed geometry. Source: the Alexandria database, functional PBE-GGA.

Summary:
Its density of states at the Fermi level is 1.5 states/eV/cell. Its space group is No. 65. The calculation puts the density at 5.98 g/cm³. The calculation puts the offset from the most stable computed form at 0.000 eV per formula unit.

Cell: 6.9451 6.9451 3.7350 Å, 90.00 90.00 133.95°
Fractional positions:
In  0.0000  0.0000  0.0000
Ir  0.5000  0.5000  0.0000
Br  0.3670  0.6330  0.5000
Br  0.6330  0.3670  0.5000



Crystalline PmTh2NiN4 at its relaxed geometry. Source: the Alexandria database, functional PBE-GGA.

Summary:
Its density of states at the Fermi level is 8.5 states/eV/cell. Its space group is No. 63. As for the total energy: -136.0 eV per cell. The calculation puts the density at 9.65 g/cm³.

Cell: 6.1543 6.1543 11.8774 Å, 90.00 90.00 146.36°
Fractional positions:
Pm  0.1062  0.8938  0.7500
Pm  0.8938  0.1062  0.2500
Th  0.3686  0.6314  0.5600
Th  0.3686  0.6314  0.9400
Th  0.6314  0.3686  0.0600
Th  0.6314  0.3686  0.4400
Ni  0.1575  0.8425  0.2500
Ni  0.8425  0.1575  0.7500
N  0.0000  0.0000  0.0000
N  0.0000  0.0000  0.5000
N  0.2694  0.7306  0.1214
N  0.2694  0.7306  0.3786
N  0.4518  0.5482  0.7500
N  0.5482  0.4518  0.2500
N  0.7306  0.2694  0.6214
N  0.7306  0.2694  0.8786